Record 1
## ScBeSi (PBE-GGA)

Data for a geometry-optimized ScBeSi structure.

abc: 3.9447 4.8238 9.6211
angles: 90.00 90.00 90.00
Closest atoms and distances in Å follow each position.
Space group Fmm2 (No. 42)
Inequivalent atoms, fractional coordinates:
Sc (0.0000, 0.0000, 0.0000) (multiplicity 4)  3 Be 2.71-2.96, 3 Si 2.75-2.89
Be (0.0000, 0.0000, 0.3075) (multiplicity 4)  2 Si 2.23
Si (0.0000, 0.0000, 0.6992) (multiplicity 4)  2 Be 2.23

Calculated values
V, Å³/cell: 183.1
DOS at the Fermi energy, states/eV per cell: 7.04
Calculated total energy, eV per atom: -5.281
Total magnetization, μB/cell: 0.00

***

Record 2
## ScBeSi2 (PBE-GGA)

Data for a geometry-optimized ScBeSi2 structure.

abc: 2.9680 3.9358 5.0918
angles: 90.00 90.00 90.00
Closest atoms and distances in Å follow each position.
Space group Pmmm (No. 47)
Inequivalent atoms, fractional coordinates:
Sc (0.0000, 0.0000, 0.0000) (multiplicity 1)  8 Si 2.78, 4 Be 2.95, 2 Sc 2.97
Be (0.5000, 0.0000, 0.5000) (multiplicity 1)  4 Si 2.34
Si (0.5000, 0.5000, 0.2525) (multiplicity 2)  2 Be 2.34, 2 Si 2.52-2.57

Calculated values
V, Å³/cell: 59.5
DOS at the Fermi energy, states/eV per cell: 1.86
Calculated total energy, eV per atom: -5.450
Total magnetization, μB/cell: 0.00

***

Record 3
## ScBe2Si2 (PBE-GGA)

Data for a geometry-optimized ScBe2Si2 structure.

abc: 3.7314 3.7314 9.8173
angles: 90.00 90.00 90.00
Closest atoms and distances in Å follow each position.
Space group I4/mmm (No. 139)
Inequivalent atoms, fractional coordinates:
Sc (0.0000, 0.0000, 0.0000) (multiplicity 2)  8 Si 2.88, 8 Be 3.08
Be (0.0000, 0.5000, 0.2500) (multiplicity 4)  4 Si 2.27
Si (0.0000, 0.0000, 0.3813) (multiplicity 4)  4 Be 2.27, 1 Si 2.33

Calculated values
V, Å³/cell: 136.7
DOS at the Fermi energy, states/eV per cell: 4.54
Calculated total energy, eV per atom: -5.185
Total magnetization, μB/cell: 0.00

***

Record 4
## ScBe4Si2 (PBE-GGA)

Data for a geometry-optimized ScBe4Si2 structure.

abc: 4.3321 4.3321 12.1857
angles: 90.00 90.00 90.00
Closest atoms and distances in Å follow each position.
Space group I4/mmm (No. 139)
Inequivalent atoms, fractional coordinates:
Sc (0.0000, 0.0000, 0.0000) (multiplicity 2)  4 Be 2.17
Be (0.0000, 0.0000, 0.2144) (multiplicity 4)  1 Si 2.21
Be (0.0000, 0.5000, 0.0000) (multiplicity 4)  2 Sc 2.17
Si (0.0000, 0.0000, 0.3955) (multiplicity 4)  1 Be 2.21

Calculated values
V, Å³/cell: 228.7
DOS at the Fermi energy, states/eV per cell: 7.86
Calculated total energy, eV per atom: -3.403
Total magnetization, μB/cell: 0.82

***

Repeat the second record exactly.
## ScBeSi2 (PBE-GGA)

Data for a geometry-optimized ScBeSi2 structure.

abc: 2.9680 3.9358 5.0918
angles: 90.00 90.00 90.00
Closest atoms and distances in Å follow each position.
Space group Pmmm (No. 47)
Inequivalent atoms, fractional coordinates:
Sc (0.0000, 0.0000, 0.0000) (multiplicity 1)  8 Si 2.78, 4 Be 2.95, 2 Sc 2.97
Be (0.5000, 0.0000, 0.5000) (multiplicity 1)  4 Si 2.34
Si (0.5000, 0.5000, 0.2525) (multiplicity 2)  2 Be 2.34, 2 Si 2.52-2.57

Calculated values
V, Å³/cell: 59.5
DOS at the Fermi energy, states/eV per cell: 1.86
Calculated total energy, eV per atom: -5.450
Total magnetization, μB/cell: 0.00